Here is a PBEsol-optimized structure of Ni2SeS from the Alexandria database. Energies are from SCAN.

## Properties
- ΔE_f (raw): -0.292 eV per atom
- SG: No. 122
- E_tot: -15.805 eV per atom

Structure (extended XYZ):
```
16
Lattice="5.075 0.000 0.000 0.000 5.075 0.000 0.000 0.000 10.288" Properties=species:S:1:pos:R:3 pbc="T T T"
Ni 1.132 1.269 1.286
Ni 1.269 3.669 3.858
Ni 1.269 3.944 9.002
Ni 1.406 1.269 6.430
Ni 3.669 3.806 6.430
Ni 3.806 1.132 9.002
Ni 3.806 1.406 3.858
Ni 3.944 3.806 1.286
Se 0.000 0.000 5.144
Se 0.000 2.538 7.716
Se 2.538 0.000 2.572
Se 2.538 2.538 0.000
S 0.000 0.000 0.000
S 0.000 2.538 2.572
S 2.538 0.000 7.716
S 2.538 2.538 5.144
```